No. 1
# Na2Tl2B10O17, PBEsol geometry, DFT SCAN
data_Na2Tl2B10O17
_chemical_formula_sum 'Na8 Tl8 B40 O68'
_cell_length_a 21.990
_cell_length_b 6.469
_cell_length_c 10.956
_cell_angle_alpha 90.00
_cell_angle_beta 105.59
_cell_angle_gamma 90.00
_space_group_name_H-M_alt 'C 1 2/c 1'
_space_group_IT_number 15
_space_group_name_Hall '-C 2yc'
loop_
_atom_site_label
_atom_site_fract_x
_atom_site_fract_y
_atom_site_fract_z
_atom_site_occupancy
Na1 0.234 0.047 0.186 1
Tl1 0.073 0.182 0.071 1
B1 0.055 0.317 0.736 1
B2 0.143 0.333 0.637 1
B3 0.154 0.132 0.843 1
B4 0.164 0.232 0.429 1
B5 0.183 0.417 0.002 1
O1 0.000 0.401 0.750 1
O2 0.079 0.391 0.642 1
O3 0.086 0.169 0.820 1
O4 0.139 0.191 0.527 1
O5 0.168 0.091 0.339 1
O6 0.175 0.469 0.118 1
O7 0.180 0.231 0.750 1
O8 0.184 0.211 0.974 1
O9 0.187 0.430 0.416 1
# * theoretical density: 3.69 g/cm3
# * raw formation energy: -2.455 eV per atom
# * total magnetic moment: 0.00 μB per formula unit

***

No. 2
# Mg3BiAs, PBEsol geometry, DFT SCAN
data_Mg3BiAs
_chemical_formula_sum 'Mg3 Bi1 As1'
_cell_length_a 5.290
_cell_length_b 5.290
_cell_length_c 5.290
_cell_angle_alpha 90.00
_cell_angle_beta 90.00
_cell_angle_gamma 90.00
_space_group_name_H-M_alt 'P m -3 m'
_space_group_IT_number 221
_space_group_name_Hall '-P 4 2 3'
loop_
_atom_site_label
_atom_site_fract_x
_atom_site_fract_y
_atom_site_fract_z
_atom_site_occupancy
Mg1 0.000 0.000 0.500 1
Bi1 0.000 0.000 0.000 1
As1 0.500 0.500 0.500 1
# * theoretical density: 4.00 g/cm3
# * total magnetic moment: 0.00 μB per formula unit
# * E_form: 39.4 kJ/mol of atoms

***

No. 3
# ScMnCd3, PBEsol geometry, DFT SCAN
data_ScMnCd3
_chemical_formula_sum 'Sc1 Mn1 Cd3'
_cell_length_a 4.906
_cell_length_b 4.906
_cell_length_c 4.906
_cell_angle_alpha 90.00
_cell_angle_beta 90.00
_cell_angle_gamma 90.00
_space_group_name_H-M_alt 'P m -3 m'
_space_group_IT_number 221
_space_group_name_Hall '-P 4 2 3'
loop_
_atom_site_label
_atom_site_fract_x
_atom_site_fract_y
_atom_site_fract_z
_atom_site_occupancy
Sc1 0.000 0.000 0.000 1
Mn1 0.500 0.500 0.500 1
Cd1 0.000 0.500 0.500 1
# * theoretical density: 6.15 g/cm3
# * total magnetic moment: 2.92 μB per formula unit
# * E_form: 40.0 kJ/mol of atoms

***

No. 4
# CrHgPb, PBEsol geometry, DFT SCAN
data_CrHgPb
_chemical_formula_sum 'Cr1 Hg1 Pb1'
_cell_length_a 3.3766
_cell_length_b 3.3766
_cell_length_c 6.8205
_cell_angle_alpha 90.00
_cell_angle_beta 90.00
_cell_angle_gamma 120.00
_space_group_name_H-M_alt 'P 3 m 1'
_space_group_IT_number 156
_space_group_name_Hall 'P 3 -2"'
loop_
_atom_site_label
_atom_site_fract_x
_atom_site_fract_y
_atom_site_fract_z
_atom_site_occupancy
Cr1 0.0000 0.0000 0.0000 1
Hg1 0.3333 0.6667 0.7048 1
Pb1 0.6667 0.3333 0.3283 1
# * theoretical density: 11.34 g/cm3
# * relative energy among the computed polymorphs: 0.000 eV/atom
# * total magnetic moment: 4.25 μB per formula unit
# * E_form: 21.3 kJ/mol of atoms

***

No. 5
# Be2AlCl, PBEsol geometry, DFT SCAN
data_Be2AlCl
_chemical_formula_sum 'Be4 Al2 Cl2'
_cell_length_a 2.797
_cell_length_b 5.067
_cell_length_c 7.962
_cell_angle_alpha 90.00
_cell_angle_beta 90.00
_cell_angle_gamma 90.00
_space_group_name_H-M_alt 'I m m m'
_space_group_IT_number 71
_space_group_name_Hall '-I 2 2'
loop_
_atom_site_label
_atom_site_fract_x
_atom_site_fract_y
_atom_site_fract_z
_atom_site_occupancy
Be1 0.000 0.000 0.242 1
Al1 0.000 0.500 0.000 1
Cl1 0.000 0.500 0.500 1
# * theoretical density: 2.37 g/cm3
# * relative energy among the computed polymorphs: 0.585 eV/atom
# * raw formation energy: 0.511 eV per atom
# * total magnetic moment: 0.00 μB per formula unit

***

No. 6
# AlHg2P, PBEsol geometry, DFT SCAN
data_AlHg2P
_chemical_formula_sum 'Al1 Hg2 P1'
_cell_length_a 3.377
_cell_length_b 3.377
_cell_length_c 7.664
_cell_angle_alpha 90.00
_cell_angle_beta 90.00
_cell_angle_gamma 90.00
_space_group_name_H-M_alt 'P 4 m m'
_space_group_IT_number 99
_space_group_name_Hall 'P 4 -2'
loop_
_atom_site_label
_atom_site_fract_x
_atom_site_fract_y
_atom_site_fract_z
_atom_site_occupancy
Al1 0.000 0.000 0.000 1
Hg1 0.000 0.000 0.659 1
Hg2 0.500 0.500 0.403 1
P1 0.500 0.500 0.068 1
# * theoretical density: 8.72 g/cm3
# * relative energy among the computed polymorphs: 0.000 eV/atom
# * total magnetic moment: 0.00 μB per formula unit
# * E_form: -3.1 kJ/mol of atoms

***

No. 7
# TiBe3Se, PBEsol geometry, DFT SCAN
data_TiBe3Se
_chemical_formula_sum 'Ti1 Be3 Se1'
_cell_length_a 4.213
_cell_length_b 4.213
_cell_length_c 4.213
_cell_angle_alpha 90.00
_cell_angle_beta 90.00
_cell_angle_gamma 90.00
_space_group_name_H-M_alt 'P m -3 m'
_space_group_IT_number 221
_space_group_name_Hall '-P 4 2 3'
loop_
_atom_site_label
_atom_site_fract_x
_atom_site_fract_y
_atom_site_fract_z
_atom_site_occupancy
Ti1 0.000 0.000 0.000 1
Be1 0.000 0.500 0.500 1
Se1 0.500 0.500 0.500 1
# * theoretical density: 3.42 g/cm3
# * raw formation energy: 0.973 eV per atom
# * total magnetic moment: 1.60 μB per formula unit

***

No. 8
# KSr2Te, PBEsol geometry, DFT SCAN
data_KSr2Te
_chemical_formula_sum 'K4 Sr8 Te4'
_cell_length_a 8.755
_cell_length_b 8.755
_cell_length_c 8.755
_cell_angle_alpha 90.00
_cell_angle_beta 90.00
_cell_angle_gamma 90.00
_space_group_name_H-M_alt 'F -4 3 m'
_space_group_IT_number 216
_space_group_name_Hall 'F -4 2 3'
loop_
_atom_site_label
_atom_site_fract_x
_atom_site_fract_y
_atom_site_fract_z
_atom_site_occupancy
K1 0.000 0.000 0.000 1
Sr1 0.000 0.000 0.500 1
Sr2 0.250 0.250 0.250 1
Te1 0.250 0.250 0.750 1
# * theoretical density: 3.38 g/cm3
# * raw formation energy: -0.256 eV per atom
# * total magnetic moment: 0.00 μB per formula unit